[1]
{"formula": "Er2TmPuTl4", "functional": "PBE-GGA", "state": "optimized geometry", "cell": [[2.675, 1.544, 8.744], [-2.675, 1.544, 8.744], [0.000, -3.089, 8.744]], "species": ["Er", "Er", "Tm", "Pu", "Tl", "Tl", "Tl", "Tl"], "fractional_positions": [[0.248, 0.248, 0.248], [0.752, 0.752, 0.752], [0.000, 0.000, 0.000], [0.500, 0.500, 0.500], [0.123, 0.123, 0.123], [0.373, 0.373, 0.373], [0.627, 0.627, 0.627], [0.877, 0.877, 0.877]], "n_ef_per_ev_cell": 13.5, "spacegroup": "R-3m", "formation_enthalpy_0k_mev_per_atom": -215.2}

***

[2]
{"formula": "Sm2ErPuS4", "functional": "PBE-GGA", "state": "optimized geometry", "cell": [[6.857, 0.000, 0.000], [0.000, 3.942, 0.000], [-2.259, 0.000, 6.494]], "species": ["Sm", "Sm", "Er", "Pu", "S", "S", "S", "S"], "fractional_positions": [[0.000, 0.000, 0.000], [0.500, 0.500, 0.000], [0.000, 0.500, 0.500], [0.500, 0.000, 0.500], [0.243, 0.000, 0.740], [0.249, 0.500, 0.258], [0.751, 0.500, 0.742], [0.757, 0.000, 0.260]], "n_ef_per_ev_cell": 7.8, "spacegroup": "P2/m", "raw_formation_energy_kj_per_mol_fu": -1514}

***

[3]
{"formula": "CrInW2", "functional": "PBE-GGA", "state": "optimized geometry", "cell": [[3.868, 0.000, 0.000], [0.000, 3.868, 0.000], [0.000, 0.000, 4.393]], "species": ["Cr", "In", "W", "W"], "fractional_positions": [[0.000, 0.000, 0.000], [0.500, 0.500, 0.000], [0.000, 0.500, 0.500], [0.500, 0.000, 0.500]], "n_ef_per_ev_cell": 4.1, "spacegroup": "P4/mmm", "formation_enthalpy_0k_mev_per_atom": 522.4}

***

[4]
{"formula": "CdReRu2Pb", "functional": "PBE-GGA", "state": "optimized geometry", "cell": [[4.948, 0.000, 0.000], [0.000, 4.948, 0.000], [0.000, 0.000, 5.116]], "species": ["Cd", "Re", "Ru", "Ru", "Pb"], "fractional_positions": [[0.000, 0.000, 0.000], [0.500, 0.500, 0.000], [0.000, 0.500, 0.500], [0.500, 0.000, 0.500], [0.000, 0.000, 0.500]], "n_ef_per_ev_cell": 4.6, "spacegroup": "P4/mmm", "formation_enthalpy_0k_mev_per_atom": 2543.3}

***

[5]
{"formula": "MnSbH", "functional": "PBE-GGA", "state": "optimized geometry", "cell": [[4.908, -1.694, 0.000], [4.908, 1.694, 0.000], [-3.753, 0.000, 4.956]], "species": ["Mn", "Mn", "Sb", "Sb", "H", "H"], "fractional_positions": [[0.196, 0.196, 0.104], [0.804, 0.804, 0.896], [0.430, 0.430, 0.684], [0.570, 0.570, 0.316], [0.213, 0.213, 0.841], [0.787, 0.787, 0.159]], "n_ef_per_ev_cell": 2.6, "spacegroup": "C2/m", "polymorph_energy_ev_per_fu": 0.018}

***

[6]
{"formula": "Sm3Y3Er5", "functional": "PBE-GGA", "state": "optimized geometry", "cell": [[9.617, 0.000, 0.000], [-4.808, 8.328, 0.000], [0.000, 0.000, 5.533]], "species": ["Sm", "Sm", "Sm", "Y", "Y", "Y", "Er", "Er", "Er", "Er", "Er"], "fractional_positions": [[0.000, 0.365, 0.000], [0.365, 0.000, 0.000], [0.635, 0.635, 0.000], [0.000, 0.546, 0.500], [0.454, 0.454, 0.500], [0.546, 0.000, 0.500], [0.000, 0.727, 0.000], [0.273, 0.273, 0.000], [0.333, 0.667, 0.000], [0.667, 0.333, 0.000], [0.727, 0.000, 0.000]], "n_ef_per_ev_cell": 17.3, "spacegroup": "P-62m", "formation_enthalpy_0k_mev_per_atom": 817.6}